(1)
A plane-wave DFT calculation with PBE was carried out for a relaxed Li2Cd2Rh4C crystal.

The structure in CIF format:
```
data_Li2Cd2Rh4C
_chemical_formula_sum 'Li4 Cd4 Rh8 C2'
_cell_length_a 5.567
_cell_length_b 5.567
_cell_length_c 8.357
_cell_angle_alpha 90.00
_cell_angle_beta 90.00
_cell_angle_gamma 90.00
_symmetry_space_group_name_H-M 'I 4/m m m'
_symmetry_Int_Tables_number 139
_symmetry_space_group_name_Hall '-I 4 2'
loop_
_atom_site_label
_atom_site_type_symbol
_atom_site_fract_x
_atom_site_fract_y
_atom_site_fract_z
Li1 Li 0.000 0.000 0.239
Cd1 Cd 0.000 0.500 0.250
Rh1 Rh 0.247 0.247 0.000
C1 C 0.000 0.000 0.500
```

- calculated formation energy (eV/atom) = -0.15

---

(2)
A plane-wave DFT calculation with PBE was carried out for a relaxed CsCrPbBr2 crystal.

The structure in CIF format:
```
data_CsCrPbBr2
_chemical_formula_sum 'Cs1 Cr1 Pb1 Br2'
_cell_length_a 6.555
_cell_length_b 6.555
_cell_length_c 6.780
_cell_angle_alpha 90.00
_cell_angle_beta 90.00
_cell_angle_gamma 90.00
_symmetry_space_group_name_H-M 'P 4/m m m'
_symmetry_Int_Tables_number 123
_symmetry_space_group_name_Hall '-P 4 2'
loop_
_atom_site_label
_atom_site_type_symbol
_atom_site_fract_x
_atom_site_fract_y
_atom_site_fract_z
Cs1 Cs 0.000 0.000 0.000
Cr1 Cr 0.500 0.500 0.500
Pb1 Pb 0.000 0.000 0.500
Br1 Br 0.000 0.500 0.000
```

- formation energy (no corrections) (meV/atom) = 579.5

---

(3)
A plane-wave DFT calculation with PBE was carried out for a relaxed TlSeSN2 crystal.

The structure in CIF format:
```
data_TlSeSN2
_chemical_formula_sum 'Tl1 Se1 S1 N2'
_cell_length_a 4.286
_cell_length_b 4.286
_cell_length_c 5.751
_cell_angle_alpha 90.00
_cell_angle_beta 90.00
_cell_angle_gamma 90.00
_symmetry_space_group_name_H-M 'P 4/m m m'
_symmetry_Int_Tables_number 123
_symmetry_space_group_name_Hall '-P 4 2'
loop_
_atom_site_label
_atom_site_type_symbol
_atom_site_fract_x
_atom_site_fract_y
_atom_site_fract_z
Tl1 Tl 0.000 0.000 0.000
Se1 Se 0.500 0.500 0.500
S1 S 0.000 0.000 0.500
N1 N 0.000 0.500 0.000
```

- offset from the most stable computed form (meV per atom) = 627.8
- formation energy (no corrections) (meV/atom) = 1992.8

---

(4)
A plane-wave DFT calculation with PBE was carried out for a relaxed K2LiVCr crystal.

The structure in CIF format:
```
data_K2LiVCr
_chemical_formula_sum 'K2 Li1 V1 Cr1'
_cell_length_a 6.547
_cell_length_b 6.547
_cell_length_c 4.469
_cell_angle_alpha 90.00
_cell_angle_beta 90.00
_cell_angle_gamma 90.00
_symmetry_space_group_name_H-M 'P 4/m m m'
_symmetry_Int_Tables_number 123
_symmetry_space_group_name_Hall '-P 4 2'
loop_
_atom_site_label
_atom_site_type_symbol
_atom_site_fract_x
_atom_site_fract_y
_atom_site_fract_z
K1 K 0.000 0.500 0.000
Li1 Li 0.000 0.000 0.500
V1 V 0.500 0.500 0.000
Cr1 Cr 0.500 0.500 0.500
```

- calculated formation energy (eV/atom) = 1.12

---

(5)
A plane-wave DFT calculation with PBE was carried out for a relaxed Pm3ErHg6 crystal.

The structure in CIF format:
```
data_Pm3ErHg6
_chemical_formula_sum 'Pm6 Er2 Hg12'
_cell_length_a 9.358
_cell_length_b 5.194
_cell_length_c 11.236
_cell_angle_alpha 90.00
_cell_angle_beta 106.37
_cell_angle_gamma 90.00
_symmetry_space_group_name_H-M 'P 1 21/m 1'
_symmetry_Int_Tables_number 11
loop_
_symmetry_equiv_pos_as_xyz
'x,y,z'
'-x,-y,-z'
'-x,y+1/2,-z'
'x,-y+1/2,z'
loop_
_atom_site_label
_atom_site_type_symbol
_atom_site_fract_x
_atom_site_fract_y
_atom_site_fract_z
Pm1 Pm 0.012 0.250 0.386
Pm2 Pm 0.148 0.750 0.212
Pm3 Pm 0.273 0.250 0.991
Er1 Er 0.441 0.250 0.602
Hg1 Hg 0.035 0.750 0.915
Hg2 Hg 0.166 0.250 0.699
Hg3 Hg 0.267 0.750 0.502
Hg4 Hg 0.352 0.250 0.311
Hg5 Hg 0.355 0.750 0.814
Hg6 Hg 0.440 0.750 0.116
```

- calculated formation energy (eV/atom) = -0.43
- offset from the most stable computed form (meV per atom) = 0.0

---

(6)
A plane-wave DFT calculation with PBE was carried out for a relaxed CaBeGa3 crystal.

The structure in CIF format:
```
data_CaBeGa3
_chemical_formula_sum 'Ca1 Be1 Ga3'
_cell_length_a 4.621
_cell_length_b 4.621
_cell_length_c 4.621
_cell_angle_alpha 90.00
_cell_angle_beta 90.00
_cell_angle_gamma 90.00
_symmetry_space_group_name_H-M 'P m -3 m'
_symmetry_Int_Tables_number 221
_symmetry_space_group_name_Hall '-P 4 2 3'
loop_
_atom_site_label
_atom_site_type_symbol
_atom_site_fract_x
_atom_site_fract_y
_atom_site_fract_z
Ca1 Ca 0.000 0.000 0.000
Be1 Be 0.500 0.500 0.500
Ga1 Ga 0.000 0.500 0.500
```

- calculated formation energy (eV/atom) = -0.03
- offset from the most stable computed form (meV per atom) = 0.0

---

(7)
A plane-wave DFT calculation with PBE was carried out for a relaxed DyAl9Pt2 crystal.

The structure in CIF format:
```
data_DyAl9Pt2
_chemical_formula_sum 'Dy4 Al36 Pt8'
_cell_length_a 10.691
_cell_length_b 10.691
_cell_length_c 7.143
_cell_angle_alpha 90.00
_cell_angle_beta 90.00
_cell_angle_gamma 90.00
_symmetry_space_group_name_H-M 'I 41/a m d'
_symmetry_Int_Tables_number 141
loop_
_symmetry_equiv_pos_as_xyz
'x,y,z'
'-x,-y,-z'
'-y+1/4,x+3/4,z+1/4'
'y+1/4,-x+3/4,-z+1/4'
'-x+1/2,-y,z+1/2'
'x+1/2,y,-z+1/2'
'y+1/4,-x+1/4,z+3/4'
'-y+1/4,x+1/4,-z+3/4'
'x,-y,-z'
'-x,y,z'
'-y+1/4,-x+1/4,-z+3/4'
'y+1/4,x+1/4,z+3/4'
'-x+1/2,y,-z+1/2'
'x+1/2,-y,z+1/2'
'y+1/4,x+3/4,-z+1/4'
'-y+1/4,-x+3/4,z+1/4'
'x+1/2,y+1/2,z+1/2'
'-x+1/2,-y+1/2,-z+1/2'
'-y+3/4,x+1/4,z+3/4'
'y+3/4,-x+1/4,-z+3/4'
'-x,-y+1/2,z'
'x,y+1/2,-z'
'y+3/4,-x+3/4,z+1/4'
'-y+3/4,x+3/4,-z+1/4'
'x+1/2,-y+1/2,-z+1/2'
'-x+1/2,y+1/2,z+1/2'
'-y+3/4,-x+3/4,-z+1/4'
'y+3/4,x+3/4,z+1/4'
'-x,y+1/2,-z'
'x,-y+1/2,z'
'y+3/4,x+1/4,-z+3/4'
'-y+3/4,-x+1/4,z+3/4'
loop_
_atom_site_label
_atom_site_type_symbol
_atom_site_fract_x
_atom_site_fract_y
_atom_site_fract_z
Dy1 Dy 0.000 0.250 0.375
Al1 Al 0.000 0.250 0.875
Al2 Al 0.121 0.049 0.678
Pt1 Pt 0.000 0.000 0.000
```

- calculated formation energy (eV/atom) = -0.52

---

(8)
A plane-wave DFT calculation with PBE was carried out for a relaxed YBe2P crystal.

The structure in CIF format:
```
data_YBe2P
_chemical_formula_sum 'Y1 Be2 P1'
_cell_length_a 3.882
_cell_length_b 3.882
_cell_length_c 3.949
_cell_angle_alpha 90.00
_cell_angle_beta 90.00
_cell_angle_gamma 90.00
_symmetry_space_group_name_H-M 'P 4/m m m'
_symmetry_Int_Tables_number 123
_symmetry_space_group_name_Hall '-P 4 2'
loop_
_atom_site_label
_atom_site_type_symbol
_atom_site_fract_x
_atom_site_fract_y
_atom_site_fract_z
Y1 Y 0.000 0.000 0.000
Be1 Be 0.000 0.500 0.500
P1 P 0.500 0.500 0.000
```

- calculated formation energy (eV/atom) = -0.09

---

(9)
A plane-wave DFT calculation with PBE was carried out for a relaxed CePr3Nd4Te8 crystal.

The structure in CIF format:
```
data_CePr3Nd4Te8
_chemical_formula_sum 'Ce3 Pr9 Nd12 Te24'
_cell_length_a 9.0226
_cell_length_b 9.0226
_cell_length_c 22.0975
_cell_angle_alpha 90.00
_cell_angle_beta 90.00
_cell_angle_gamma 120.00
_symmetry_space_group_name_H-M 'R -3 m'
_symmetry_Int_Tables_number 166
_symmetry_space_group_name_Hall '-R 3 2"'
loop_
_atom_site_label
_atom_site_type_symbol
_atom_site_fract_x
_atom_site_fract_y
_atom_site_fract_z
Ce1 Ce 0.0000 0.0000 0.0000
Pr1 Pr 0.0000 0.5000 0.0000
Nd1 Nd 0.0000 0.0000 0.5000
Nd2 Nd 0.0000 0.5000 0.5000
Te1 Te 0.0000 0.0000 0.2491
Te2 Te 0.0020 0.5010 0.7504
```

- formation energy (no corrections) (meV/atom) = -1422.2

---

(10)
A plane-wave DFT calculation with PBE was carried out for a relaxed K2Ru crystal.

The structure in CIF format:
```
data_K2Ru
_chemical_formula_sum 'K4 Ru2'
_cell_length_a 8.594
_cell_length_b 8.680
_cell_length_c 2.782
_cell_angle_alpha 90.00
_cell_angle_beta 90.00
_cell_angle_gamma 90.00
_symmetry_space_group_name_H-M 'P n n m'
_symmetry_Int_Tables_number 58
loop_
_symmetry_equiv_pos_as_xyz
'x,y,z'
'-x,-y,-z'
'-x,-y,z'
'x,y,-z'
'x+1/2,-y+1/2,-z+1/2'
'-x+1/2,y+1/2,z+1/2'
'-x+1/2,y+1/2,-z+1/2'
'x+1/2,-y+1/2,z+1/2'
loop_
_atom_site_label
_atom_site_type_symbol
_atom_site_fract_x
_atom_site_fract_y
_atom_site_fract_z
K1 K 0.212 0.196 0.000
Ru1 Ru 0.000 0.500 0.000
```

- calculated formation energy (eV/atom) = 1.21
- offset from the most stable computed form (meV per atom) = 602.8

---

(11)
A plane-wave DFT calculation with PBE was carried out for a relaxed Li2SBr4 crystal.

The structure in CIF format:
```
data_Li2SBr4
_chemical_formula_sum 'Li4 S2 Br8'
_cell_length_a 4.835
_cell_length_b 4.835
_cell_length_c 20.993
_cell_angle_alpha 90.00
_cell_angle_beta 90.00
_cell_angle_gamma 90.00
_symmetry_space_group_name_H-M 'I 4/m m m'
_symmetry_Int_Tables_number 139
_symmetry_space_group_name_Hall '-I 4 2'
loop_
_atom_site_label
_atom_site_type_symbol
_atom_site_fract_x
_atom_site_fract_y
_atom_site_fract_z
Li1 Li 0.000 0.000 0.200
S1 S 0.000 0.000 0.500
Br1 Br 0.000 0.000 0.315
Br2 Br 0.000 0.500 0.000
```

- formation energy (no corrections) (meV/atom) = -556.4

---

(12)
A plane-wave DFT calculation with PBE was carried out for a relaxed PPbS2Br crystal.

The structure in CIF format:
```
data_PPbS2Br
_chemical_formula_sum 'P1 Pb1 S2 Br1'
_cell_length_a 5.470
_cell_length_b 5.470
_cell_length_c 5.399
_cell_angle_alpha 90.00
_cell_angle_beta 90.00
_cell_angle_gamma 90.00
_symmetry_space_group_name_H-M 'P 4/m m m'
_symmetry_Int_Tables_number 123
_symmetry_space_group_name_Hall '-P 4 2'
loop_
_atom_site_label
_atom_site_type_symbol
_atom_site_fract_x
_atom_site_fract_y
_atom_site_fract_z
P1 P 0.000 0.000 0.000
Pb1 Pb 0.500 0.500 0.000
S1 S 0.000 0.500 0.500
Br1 Br 0.000 0.000 0.500
```

- offset from the most stable computed form (meV per atom) = 23.6
- formation energy (no corrections) (meV/atom) = 1026.4